Entry 1:
Computed, not measured: crystalline Na2Ag at its relaxed geometry at the PBE level of DFT.

a = 5.6979 Å, b = 5.6979 Å, c = 5.6979 Å
α = 60.00°, β = 60.00°, γ = 60.00°
Sites, in units of the cell vectors:
Na  0.0000  0.0000  0.0000
Na  0.0000  0.0000  0.5000
Na  0.0000  0.5000  0.0000
Na  0.5000  0.0000  0.0000
Ag  0.3750  0.3750  0.3750
Ag  0.6250  0.6250  0.6250

Results
Energy in eV per atom: -1.559
Space-group type: No. 227



Entry 2:
Computed, not measured: crystalline PrSbPO at its relaxed geometry at the PBE level of DFT.

a = 4.3303 Å, b = 6.1797 Å, c = 6.3488 Å
α = 90.00°, β = 90.00°, γ = 90.00°
Sites, in units of the cell vectors:
Pr  0.0000  0.2223  0.0000
Pr  0.0000  0.7777  0.5000
Sb  0.5000  0.3706  0.4038
Sb  0.5000  0.6294  0.9038
P  0.5000  0.0776  0.6974
P  0.5000  0.9224  0.1974
O  0.0000  0.4190  0.3330
O  0.0000  0.5810  0.8330

Results
Space-group type: No. 26
Distance to the lowest polymorph of the same formula in meV per atom: 38



Repeat the second record exactly.
Computed, not measured: crystalline PrSbPO at its relaxed geometry at the PBE level of DFT.

a = 4.3303 Å, b = 6.1797 Å, c = 6.3488 Å
α = 90.00°, β = 90.00°, γ = 90.00°
Sites, in units of the cell vectors:
Pr  0.0000  0.2223  0.0000
Pr  0.0000  0.7777  0.5000
Sb  0.5000  0.3706  0.4038
Sb  0.5000  0.6294  0.9038
P  0.5000  0.0776  0.6974
P  0.5000  0.9224  0.1974
O  0.0000  0.4190  0.3330
O  0.0000  0.5810  0.8330

Results
Space-group type: No. 26
Distance to the lowest polymorph of the same formula in meV per atom: 38